An optimized crystal structure of Sr4Au2N. Source: Alexandria via LeMat-Bulk, functional GGA-PBE.

Properties
D(E_F), states/eV/f.u.: 4.4
Distance to the lowest polymorph of the same formula, meV per atom: 42
Space group: P2_1/m, No. 11
Uncorrected formation energy, eV/atom: -0.5801

Geometry as extended XYZ:
```
14
Lattice="7.443 0.000 0.000 0.000 7.524 0.000 -2.582 0.000 8.290" Properties=species:S:1:pos:R:3 pbc="T T T"
Sr -0.436 0.102 2.083
Sr -0.436 3.660 2.083
Sr 1.658 1.881 4.869
Sr 2.888 1.881 1.060
Sr 1.973 5.643 7.231
Sr 3.204 5.643 3.422
Sr 5.298 3.864 6.207
Sr 5.298 7.422 6.207
Au 0.135 5.643 4.592
Au 1.634 5.643 0.477
Au 3.227 1.881 7.813
Au 4.727 1.881 3.698
N 1.062 1.881 2.580
N 3.799 5.643 5.710
```